Material: Cs3NdTh2Te6
Method: DFT, PBE
State: optimized geometry

The raw formation energy comes out at -1.25 eV/atom.

The space group is C2/m (No. 12) and the conventional cell measures 7.926, 13.727 and 9.466 Å, with angles of 90.00, 106.21 and 90.00 degrees. The inequivalent atoms are Cs at (0.000, 0.000, 0.000), Cs at (0.000, 0.335, 0.000), Nd at (0.000, 0.500, 0.500), Th at (0.000, 0.167, 0.500), Te at (0.229, 0.000, 0.699) and Te at (0.235, 0.331, 0.699).


Material: MnReCl
Method: DFT, PBE
State: optimized geometry

The raw formation energy comes out at 1.06 eV/atom. Its offset from the most stable computed form is 658 meV per atom.

The space group is F-43m (No. 216) and the conventional cell measures 5.854, 5.854 and 5.854 Å, with angles of 90.00, 90.00 and 90.00 degrees. The inequivalent atoms are Mn at (0.000, 0.000, 0.000), Re at (0.250, 0.250, 0.750) and Cl at (0.000, 0.000, 0.500).


Material: Na2MgCl4
Method: DFT, PBE
State: optimized geometry

The raw formation energy comes out at -1.82 eV/atom. Its offset from the most stable computed form is 0 meV per atom.

The space group is Pbam (No. 55) and the conventional cell measures 6.942, 12.081 and 3.838 Å, with angles of 90.00, 90.00 and 90.00 degrees. The inequivalent atoms are Na at (0.083, 0.180, 0.000), Mg at (0.000, 0.500, 0.500), Cl at (0.120, 0.694, 0.500) and Cl at (0.237, 0.457, 0.000).


raw formation energy of number 1 (Cs3NdTh2Te6)? -1.25 eV/atom


The highest raw formation energy belongs to which entry? MnReCl


raw formation energy of number 1 (Cs3NdTh2Te6)? -1.25 eV/atom


The lowest raw formation energy belongs to which entry? Na2MgCl4